(1)
Material: TePtWN2
Method: DFT, GGA-PBE
State: relaxed

Cell: 3.815 3.815 7.912 Å, 90.00 90.00 90.00°
Space group P4/mmm (No. 123)
Asymmetric unit:
Te  0.000  0.000  0.000 (multiplicity 1)
Pt  0.000  0.000  0.500 (multiplicity 1)
W  0.500  0.500  0.000 (multiplicity 1)
N  0.000  0.500  0.500 (multiplicity 2)

## Properties
* D(E_F): 4.34 states/eV/cell
* crystal system: tetragonal
* E above lowest polymorph: 6.192 eV/f.u.
* calculated density: 7.71 g/cm3
* magnetization: 0.67 μB/atom
* ΔE_f (raw): 8.91 eV per formula unit

(2)
Material: Dy8YCd6
Method: DFT, GGA-PBE
State: relaxed

Cell: 8.9669 8.9669 19.1097 Å, 90.00 90.00 120.00°
Space group R-3 (No. 148, hexagonal axes)
Asymmetric unit:
Dy  0.0000  0.0000  0.1662 (multiplicity 6)
Dy  0.9996  0.3340  0.6163 (multiplicity 18)
Y  0.0000  0.0000  0.5000 (multiplicity 3)
Cd  0.9998  0.3333  0.1149 (multiplicity 18)

## Properties
* D(E_F): 55.33 states/eV/cell
* crystal system: trigonal
* E_tot: -3.32 eV/atom
* calculated density: 7.72 g/cm3
* magnetization: 0.06 μB/atom

- Look up the magnetization of the first one.
  0.67 μB/atom

- Among the records above, which one has the lowest calculated density?
  TePtWN2